# 1
5
Lattice="4.7889 0.0000 0.0000 0.0000 4.7889 0.0000 0.0000 0.0000 4.7889" Properties=species:S:1:pos:R:3 comment="PBE-GGA Pa4N, optimized geometry" magmom_total_mub_per_fu=0.00 raw_formation_energy_ev_per_atom=-0.545 pbc="T T T"
Pa 0.0000 0.0000 0.0000
Pa 0.0000 2.3945 2.3945
Pa 2.3945 0.0000 2.3945
Pa 2.3945 2.3945 0.0000
N 2.3945 2.3945 2.3945

---

# 2
8
Lattice="3.4811 0.0000 0.0000 0.0000 3.4811 0.0000 0.0000 0.0000 13.7410" Properties=species:S:1:pos:R:3 comment="PBE-GGA Pa3N, optimized geometry" magmom_total_mub_per_fu=0.00 de_polymorph_mev_per_atom=0 raw_formation_energy_ev_per_atom=-0.696 pbc="T T T"
Pa 0.0000 0.0000 0.0000
Pa 0.0000 0.0000 4.5436
Pa 0.0000 0.0000 9.1974
Pa 1.7406 1.7406 2.3269
Pa 1.7406 1.7406 6.8705
Pa 1.7406 1.7406 11.4141
N 0.0000 0.0000 6.8705
N 1.7406 1.7406 0.0000

---

# 3
14
Lattice="-3.6367 3.6367 3.6367 3.6367 -3.6367 3.6367 3.6367 3.6367 -3.6367" Properties=species:S:1:pos:R:3 comment="PBE-GGA Pa3N4, optimized geometry" magmom_total_mub_per_fu=0.00 de_polymorph_mev_per_atom=0 raw_formation_energy_ev_per_atom=-1.437 pbc="T T T"
Pa 5.4550 0.9092 0.0000
Pa 2.7275 0.0000 1.8183
Pa 1.8183 2.7275 0.0000
Pa 0.0000 1.8183 2.7275
Pa 0.9092 0.0000 5.4550
Pa 0.0000 5.4550 0.9092
N 3.1191 0.5175 -0.5175
N 4.9375 -1.3008 1.3008
N 0.5175 0.5175 0.5175
N 0.5175 -0.5175 3.1191
N -0.5175 3.1191 0.5175
N 1.3008 4.9375 -1.3008
N 2.3359 2.3359 2.3359
N -1.3008 1.3008 4.9375

---

# 4
14
Lattice="1.8102 -5.8436 0.0000 1.8102 5.8436 0.0000 0.0000 0.0000 11.3023" Properties=species:S:1:pos:R:3 comment="PBE-GGA Pa2PbN4, optimized geometry" magmom_total_mub_per_fu=0.00 raw_formation_energy_ev_per_atom=-1.055 pbc="T T T"
Pa 1.8102 4.2466 6.4176
Pa 1.8102 4.2466 10.5359
Pa 1.8102 -4.2466 0.7664
Pa 1.8102 -4.2466 4.8847
Pb 1.8102 0.9526 8.4768
Pb 1.8102 -0.9526 2.8256
N 1.8102 5.1836 8.4768
N 1.8102 2.8506 1.0061
N 1.8102 2.8506 4.6451
N 1.8102 0.0000 0.0000
N 1.8102 0.0000 5.6512
N 1.8102 -2.8506 6.6572
N 1.8102 -2.8506 10.2963
N 1.8102 -5.1836 2.8256